Entry from Alexandria via LeMat-Bulk: crystalline Cd3Au2 at its relaxed geometry (PBE).

Cell: 4.718 4.718 5.713 Å, 90.00 90.00 60.00°
Sites, in units of the cell vectors:
Au 0.333 0.333 0.157
Au 0.667 0.667 0.843
Cd 0.000 0.000 0.000
Cd 0.333 0.333 0.646
Cd 0.667 0.667 0.354

Space group = P-3m1, No. 164
Energy relative to the lowest polymorph listed for this composition = 0 meV per atom
Final energy = -10.214 eV for the cell shown
Formation enthalpy at 0 K = -0.183 eV per atom